AlZnOs after structural relaxation. Source: Alexandria via LeMat-Bulk, functional PBE-GGA.

E_form, meV per atom: 157
Distance to the lowest polymorph of the same formula, meV per atom: 275
Calculated volume, Å³ per atom: 14.9
Magnetic moment, μB/atom: 0.000
Crystal system: orthorhombic

a = 2.9943 Å, b = 4.6581 Å, c = 12.7891 Å
α = 90.00°, β = 90.00°, γ = 90.00°
Closest atoms and distances in Å follow each position.
Fractional positions:
Al  0.0000  0.0000  0.0000  2 Os 2.49, 2 Zn 2.69, 4 Al 2.77
Al  0.0000  0.5000  0.5000  2 Os 2.49, 2 Zn 2.69, 4 Al 2.77
Al  0.5000  0.0000  0.5000  2 Os 2.49, 2 Zn 2.69, 4 Al 2.77
Al  0.5000  0.5000  0.0000  2 Os 2.49, 2 Zn 2.69, 4 Al 2.77
Zn  0.0000  0.0000  0.6748  2 Os 2.63, 2 Al 2.69, 4 Zn 2.77
Zn  0.0000  0.5000  0.1748  2 Os 2.63, 2 Al 2.69, 4 Zn 2.77
Zn  0.5000  0.0000  0.1748  2 Os 2.63, 2 Al 2.69, 4 Zn 2.77
Zn  0.5000  0.5000  0.6748  2 Os 2.63, 2 Al 2.69, 4 Zn 2.77
Os  0.0000  0.0000  0.3442  2 Al 2.49, 2 Zn 2.63, 4 Os 2.77
Os  0.0000  0.5000  0.8442  2 Al 2.49, 2 Zn 2.63, 4 Os 2.77
Os  0.5000  0.0000  0.8442  2 Al 2.49, 2 Zn 2.63, 4 Os 2.77
Os  0.5000  0.5000  0.3442  2 Al 2.49, 2 Zn 2.63, 4 Os 2.77



AlZnOs after structural relaxation. Source: Alexandria via LeMat-Bulk, functional PBE-GGA.

E_form, meV per atom: 253
Distance to the lowest polymorph of the same formula, meV per atom: 371
Calculated volume, Å³ per atom: 17.2
Magnetic moment, μB/atom: 0.000
Crystal system: cubic

a = 5.9079 Å, b = 5.9079 Å, c = 5.9079 Å
α = 90.00°, β = 90.00°, γ = 90.00°
Closest atoms and distances in Å follow each position.
Fractional positions:
Al  0.0000  0.0000  0.0000  4 Os 2.56
Al  0.0000  0.5000  0.5000  4 Os 2.56
Al  0.5000  0.0000  0.5000  4 Os 2.56
Al  0.5000  0.5000  0.0000  4 Os 2.56
Zn  0.0000  0.0000  0.5000  4 Os 2.56
Zn  0.0000  0.5000  0.0000  4 Os 2.56
Zn  0.5000  0.0000  0.0000  4 Os 2.56
Zn  0.5000  0.5000  0.5000  4 Os 2.56
Os  0.2500  0.2500  0.2500  4 Al 2.56, 4 Zn 2.56
Os  0.2500  0.7500  0.7500  4 Al 2.56, 4 Zn 2.56
Os  0.7500  0.2500  0.7500  4 Al 2.56, 4 Zn 2.56
Os  0.7500  0.7500  0.2500  4 Al 2.56, 4 Zn 2.56



AlZn3Os after structural relaxation. Source: Alexandria via LeMat-Bulk, functional PBE-GGA.

E_form, meV per atom: 739
Distance to the lowest polymorph of the same formula, meV per atom: 0
Calculated volume, Å³ per atom: 22.4
Magnetic moment, μB/atom: 0.000
Crystal system: cubic

a = 4.8178 Å, b = 4.8178 Å, c = 4.8178 Å
α = 90.00°, β = 90.00°, γ = 90.00°
Closest atoms and distances in Å follow each position.
Fractional positions:
Al  0.0000  0.0000  0.0000  12 Zn 3.41
Zn  0.0000  0.5000  0.5000  2 Os 2.41
Zn  0.5000  0.0000  0.5000  2 Os 2.41
Zn  0.5000  0.5000  0.0000  2 Os 2.41
Os  0.5000  0.5000  0.5000  6 Zn 2.41



Q: The highest calculated volume belongs to which entry?
A: AlZn3Os



Q: Which of these has the lowest E_form?
A: number 1



Q: Number 1 is which compound?
A: AlZnOs